Entry from the Alexandria database: Zr2CuMoO after structural relaxation (PBE with a Hubbard U).

The space group is P4/mmm (No. 123) and the conventional cell measures 5.284, 5.284 and 3.450 Å, with angles of 90.00, 90.00 and 90.00 degrees. Symmetry generates all atoms from Zr at (0.000, 0.500, 0.000), Cu at (0.000, 0.000, 0.000), Mo at (0.500, 0.500, 0.500) and O at (0.000, 0.000, 0.500).

The calculation puts the calculated total energy at -6.0531 eV per atom.